No. 1
Density functional theory data (PBE) for a relaxed structure of Y7Ni2Sn2.

Calculated values
formation energy from the elements: -0.32 eV per atom
size of the total moment: 0.00 μB/f.u.
energy: -6.21 eV/atom

Unit cell a=7.992 b=11.097 c=6.965 alpha=90.00 beta=90.00 gamma=90.00
Space group Cmmm (No. 65)
Asymmetric unit:
Y 0.000 0.000 0.000 (multiplicity 2)
Y 0.000 0.500 0.233 (multiplicity 4)
Y 0.250 0.250 0.246 (multiplicity 8)
Ni 0.000 0.289 0.000 (multiplicity 4)
Sn 0.181 0.000 0.500 (multiplicity 4)


No. 2
Density functional theory data (PBE) for a relaxed structure of ErSi2Ir2Pt.

Calculated values
formation energy without anion corrections: -0.2800 eV per atom
size of the total moment: 0.00 μB/f.u.
energy: -6.81 eV/atom

Unit cell a=4.505 b=4.505 c=5.455 alpha=90.00 beta=90.00 gamma=90.00
Space group P4/mmm (No. 123)
Asymmetric unit:
Er 0.000 0.000 0.000 (multiplicity 1)
Si 0.000 0.500 0.500 (multiplicity 2)
Ir 0.500 0.500 0.238 (multiplicity 2)
Pt 0.000 0.000 0.500 (multiplicity 1)


No. 3
Density functional theory data (PBE) for a relaxed structure of Ca2PdAu2.

Calculated values
energy above the lowest structure with this stoichiometry: 0.193 eV/atom
formation energy from the elements: -0.53 eV per atom
size of the total moment: 0.00 μB/f.u.
energy: -3.68 eV/atom

Unit cell a=5.674 b=5.674 c=8.004 alpha=90.00 beta=90.00 gamma=90.00
Space group I4/mmm (No. 139)
Asymmetric unit:
Ca 0.000 0.500 0.250 (multiplicity 4)
Pd 0.000 0.000 0.000 (multiplicity 2)
Au 0.000 0.000 0.336 (multiplicity 4)